## 1
Entry from the Alexandria database: a geometry-optimized AlV3P structure (PBE).

Properties
**Theoretical density**: 4281 kg/m³

Cell: 4.340 4.340 4.340 Å, 90.00 90.00 90.00°
Space group Pm-3m (No. 221)
Asymmetric unit:
1 Al 0.000 0.000 0.000
2 V 0.000 0.500 0.500
3 P 0.500 0.500 0.500

***

## 2
Entry from the Alexandria database: a geometry-optimized AlV3P structure (PBE).

Properties
**Theoretical density**: 5250 kg/m³

Cell: 5.292 4.061 6.251 Å, 90.00 96.96 90.00°
Space group P2_1/m (No. 11)
Asymmetric unit:
1 Al 0.057 0.250 0.357
2 V 0.196 0.750 0.050
3 V 0.239 0.250 0.795
4 V 0.380 0.750 0.429
5 P 0.463 0.250 0.185

***

Ordering by calculated energy gives the sequence 2, 1, with the first entry being the most stable.

***

## 1
Entry from the Alexandria database: a geometry-optimized AlV2P structure (PBE).

Properties
**Theoretical density**: 4803 kg/m³

Cell: 2.872 2.872 6.701 Å, 90.00 90.00 90.00°
Space group P4/mmm (No. 123)
Asymmetric unit:
1 Al 0.000 0.000 0.000
2 V 0.500 0.500 0.295
3 P 0.000 0.000 0.500

***

## 2
Entry from the Alexandria database: a geometry-optimized AlV2P structure (PBE).

Properties
**Theoretical density**: 4534 kg/m³

Cell: 6.670 6.670 5.263 Å, 90.00 90.00 90.00°
Space group I-42d (No. 122)
Asymmetric unit:
1 Al 0.000 0.000 0.000
2 V 0.214 0.250 0.625
3 P 0.000 0.000 0.500

***

Ordering by calculated energy gives the sequence 1, 2, with the first entry being the most stable.

***

## 1
Entry from the Alexandria database: a geometry-optimized AlPW2 structure (PBE).

Properties
**Theoretical density**: 12147 kg/m³

Cell: 5.616 6.447 3.214 Å, 90.00 90.00 90.00°
Space group Cmmm (No. 65)
Asymmetric unit:
1 Al 0.000 0.000 0.000
2 P 0.000 0.500 0.000
3 W 0.250 0.250 0.500

***

## 2
Entry from the Alexandria database: a geometry-optimized AlPW2 structure (PBE).

Properties
**Theoretical density**: 11665 kg/m³

Cell: 3.135 4.748 8.142 Å, 90.00 90.00 90.00°
Space group Cmmm (No. 65)
Asymmetric unit:
1 Al 0.000 0.000 0.000
2 P 0.000 0.000 0.500
3 W 0.000 0.500 0.271

***

## 3
Entry from the Alexandria database: a geometry-optimized AlPW2 structure (PBE).

Properties
**Theoretical density**: 11527 kg/m³

Cell: 6.260 6.260 6.260 Å, 90.00 90.00 90.00°
Space group F-43m (No. 216)
Asymmetric unit:
1 Al 0.000 0.000 0.000
2 P 0.250 0.250 0.250
3 W 0.000 0.000 0.500
4 W 0.250 0.250 0.750

***

Ordering by calculated energy gives the sequence 2, 1, 3, with the first entry being the most stable.

***

## 1
Entry from the Alexandria database: a geometry-optimized AlPW2 structure (PBE).

Properties
**Theoretical density**: 10917 kg/m³

Cell: 3.776 3.776 18.167 Å, 90.00 90.00 90.00°
Space group I-42d (No. 122)
Asymmetric unit:
1 Al 0.000 0.000 0.000
2 P 0.000 0.000 0.500
3 W 0.244 0.250 0.625

***

## 2
Entry from the Alexandria database: a geometry-optimized AlPW2 structure (PBE).

Properties
**Theoretical density**: 11648 kg/m³

Cell: 2.9241 2.9241 24.5831 Å, 90.00 90.00 120.00°
Space group R-3m (No. 166, hexagonal axes)
Asymmetric unit:
1 Al 0.0000 0.0000 0.0000
2 P 0.0000 0.0000 0.5000
3 W 0.0000 0.0000 0.2423

***

Ordering by calculated energy gives the sequence 2, 1, with the first entry being the most stable.